The following is a PBE calculation of an optimized crystal structure of RbAs2Br, from the Alexandria database.

a = 4.7219 Å, b = 4.7219 Å, c = 16.3211 Å
α = 81.68°, β = 81.68°, γ = 90.00°
Closest atoms and distances in Å follow each position.
Sites, in units of the cell vectors:
As  0.3917  0.1250  0.2500  2 As 2.37
As  0.3583  0.6250  0.2500  2 As 2.37
As  0.3750  0.6083  0.7500  2 As 2.37
As  0.8750  0.6417  0.7500  2 As 2.37
Br  0.5000  0.5000  0.0000  4 Rb 3.34
Br  0.2500  0.7500  0.5000  4 Rb 3.34
Rb  0.0000  0.0000  0.0000  4 Br 3.34
Rb  0.7500  0.2500  0.5000  4 Br 3.34

Values from the calculation:
- D(E_F) (states/eV per atom) = 0.3881
- raw formation energy (eV/atom) = -0.29